VRuIO2: optimized geometry, GGA+U.

For the polymorph energy (0 for the lowest one), the calculation gives 568 meV per atom. The value obtained for the density of states at the Fermi level is 5.600 states/eV per cell. For the calculated volume, the calculation gives 20.94 Å³ per atom. Its density is 4.93 g/cm3.

The structure belongs to space group P4/mmm (No. 123); the cell edges are 3.821, 3.821 and 7.171 Å and the angles 90.00°, 90.00° and 90.00°. The inequivalent atoms are V at (0.000, 0.000, 0.000), Ru at (0.500, 0.500, 0.500), I at (0.500, 0.500, 0.000) and O at (0.000, 0.500, 0.500).